Mn2ZnRu | PBE | relaxed

For the formation energy, the calculation gives 9.88 kJ per mole of atoms. For the volume, the calculation gives 52.0 Å³/f.u. The calculation puts the uncorrected energy at -7.12 eV/atom.

The structure belongs to space group Cm (No. 8); the cell edges are 8.6711, 2.7052 and 4.5295 Å and the angles 90.00°, 101.79° and 90.00°. The inequivalent atoms are Mn at (0.0000, 0.0000, 0.0000), Mn at (0.2469, 0.5000, 0.2630), Zn at (0.2463, 0.0000, 0.7651) and Ru at (0.4901, 0.0000, 0.4870).

***

MnZnRu | PBE | relaxed

For the energy above the most stable polymorph in this dataset, the calculation gives 0.0 meV per atom. For the formation energy, the calculation gives 3.48 kJ per mole of atoms. For the volume, the calculation gives 38.7 Å³/f.u. The calculation puts the uncorrected energy at -6.54 eV/atom.

The structure belongs to space group I4mm (No. 107); the cell edges are 2.7962, 2.7962 and 9.8919 Å and the angles 90.00°, 90.00° and 90.00°. The inequivalent atoms are Mn at (0.0000, 0.0000, 0.0000), Zn at (0.0000, 0.0000, 0.6675) and Ru at (0.0000, 0.0000, 0.3508).

***

Mn3ZnRu | PBE | relaxed

For the energy above the most stable polymorph in this dataset, the calculation gives 0.0 meV per atom. For the formation energy, the calculation gives 109.65 kJ per mole of atoms. For the volume, the calculation gives 106.4 Å³/f.u. The calculation puts the uncorrected energy at -6.48 eV/atom.

The structure belongs to space group Pm-3m (No. 221); the cell edges are 4.7380, 4.7380 and 4.7380 Å and the angles 90.00°, 90.00° and 90.00°. The inequivalent atoms are Mn at (0.0000, 0.0000, 0.5000), Zn at (0.5000, 0.5000, 0.5000) and Ru at (0.0000, 0.0000, 0.0000).

***

Question: What is the uncorrected energy in the first record?
Answer: -7.12 eV/atom